(1)
{"formula": "HoThNiHg", "functional": "PBE", "state": "optimized geometry", "sg": "F-43m, No. 216", "energy_ev_per_fu": -18.98, "e_form_mev_per_atom": -225, "lattice_angstrom": [[0.000, 3.633, 3.633], [3.633, 0.000, 3.633], [3.633, 3.633, 0.000]], "species": ["Ho", "Th", "Ni", "Hg"], "fractional_positions": [[0.000, 0.000, 0.000], [0.500, 0.500, 0.500], [0.750, 0.750, 0.750], [0.250, 0.250, 0.250]]}


(2)
{"formula": "HoZnNiHg", "functional": "PBE", "state": "optimized geometry", "sg": "F-43m, No. 216", "energy_ev_per_fu": -12.81, "e_form_mev_per_atom": -219, "lattice_angstrom": [[0.000, 3.318, 3.318], [3.318, 0.000, 3.318], [3.318, 3.318, 0.000]], "species": ["Ho", "Zn", "Ni", "Hg"], "fractional_positions": [[0.000, 0.000, 0.000], [0.250, 0.250, 0.250], [0.750, 0.750, 0.750], [0.500, 0.500, 0.500]]}


(3)
{"formula": "Ho2NpHg", "functional": "PBE", "state": "optimized geometry", "sg": "P4/mmm, No. 123", "energy_ev_per_fu": -22.20, "e_form_mev_per_atom": 50, "lattice_angstrom": [[3.410, 0.000, 0.000], [0.000, 3.410, 0.000], [0.000, 0.000, 9.065]], "species": ["Ho", "Ho", "Np", "Hg"], "fractional_positions": [[0.000, 0.000, 0.235], [0.000, 0.000, 0.765], [0.500, 0.500, 0.500], [0.500, 0.500, 0.000]]}


(4)
{"formula": "HoNpHg2O6", "functional": "PBE", "state": "optimized geometry", "sg": "P2_1/c, No. 14", "e_form_raw_ev_per_atom": -1.993, "energy_ev_per_fu": -67.80, "lattice_angstrom": [[5.820, 0.000, 0.000], [0.000, 5.952, 0.000], [-5.728, 0.000, 8.512]], "species": ["Ho", "Ho", "Np", "Np", "Hg", "Hg", "Hg", "Hg", "O", "O", "O", "O", "O", "O", "O", "O", "O", "O", "O", "O"], "fractional_positions": [[0.000, 0.000, 0.000], [0.000, 0.500, 0.500], [0.500, 0.000, 0.500], [0.500, 0.500, 0.000], [0.253, 0.030, 0.752], [0.253, 0.470, 0.252], [0.747, 0.530, 0.748], [0.747, 0.970, 0.248], [0.155, 0.044, 0.257], [0.155, 0.456, 0.757], [0.255, 0.684, 0.051], [0.255, 0.816, 0.551], [0.376, 0.203, 0.056], [0.376, 0.297, 0.556], [0.624, 0.703, 0.444], [0.624, 0.797, 0.944], [0.745, 0.184, 0.449], [0.745, 0.316, 0.949], [0.845, 0.544, 0.243], [0.845, 0.956, 0.743]]}


(5)
{"formula": "Ho3Hg5O12", "functional": "PBE", "state": "optimized geometry", "sg": "Ia-3d, No. 230", "e_form_raw_ev_per_atom": -1.226, "energy_ev_per_fu": -99.26, "lattice_angstrom": [[-6.658, 6.658, 6.658], [6.658, -6.658, 6.658], [6.658, 6.658, -6.658]], "species": ["Ho", "Ho", "Ho", "Ho", "Ho", "Ho", "Ho", "Ho", "Ho", "Ho", "Ho", "Ho", "Hg", "Hg", "Hg", "Hg", "Hg", "Hg", "Hg", "Hg", "Hg", "Hg", "Hg", "Hg", "Hg", "Hg", "Hg", "Hg", "Hg", "Hg", "Hg", "Hg", "O", "O", "O", "O", "O", "O", "O", "O", "O", "O", "O", "O", "O", "O", "O", "O", "O", "O", "O", "O", "O", "O", "O", "O", "O", "O", "O", "O", "O", "O", "O", "O", "O", "O", "O", "O", "O", "O", "O", "O", "O", "O", "O", "O", "O", "O", "O", "O"], "fractional_positions": [[0.125, 0.250, 0.375], [0.125, 0.375, 0.750], [0.250, 0.375, 0.125], [0.250, 0.875, 0.625], [0.375, 0.125, 0.250], [0.375, 0.750, 0.125], [0.625, 0.250, 0.875], [0.625, 0.875, 0.750], [0.750, 0.125, 0.375], [0.750, 0.625, 0.875], [0.875, 0.625, 0.250], [0.875, 0.750, 0.625], [0.000, 0.000, 0.000], [0.000, 0.000, 0.500], [0.000, 0.500, 0.000], [0.000, 0.500, 0.500], [0.125, 0.750, 0.875], [0.125, 0.875, 0.250], [0.250, 0.125, 0.875], [0.250, 0.625, 0.375], [0.375, 0.250, 0.625], [0.375, 0.625, 0.750], [0.500, 0.000, 0.000], [0.500, 0.000, 0.500], [0.500, 0.500, 0.000], [0.500, 0.500, 0.500], [0.625, 0.375, 0.250], [0.625, 0.750, 0.375], [0.750, 0.375, 0.625], [0.750, 0.875, 0.125], [0.875, 0.125, 0.750], [0.875, 0.250, 0.125], [0.060, 0.225, 0.143], [0.060, 0.335, 0.917], [0.082, 0.725, 0.665], [0.082, 0.857, 0.417], [0.083, 0.643, 0.418], [0.083, 0.940, 0.665], [0.143, 0.060, 0.225], [0.143, 0.583, 0.918], [0.165, 0.225, 0.582], [0.165, 0.440, 0.583], [0.225, 0.143, 0.060], [0.225, 0.582, 0.165], [0.275, 0.335, 0.918], [0.275, 0.440, 0.357], [0.335, 0.917, 0.060], [0.335, 0.918, 0.275], [0.357, 0.275, 0.440], [0.357, 0.582, 0.917], [0.417, 0.082, 0.857], [0.417, 0.835, 0.560], [0.418, 0.083, 0.643], [0.418, 0.835, 0.775], [0.440, 0.357, 0.275], [0.440, 0.583, 0.165], [0.560, 0.417, 0.835], [0.560, 0.643, 0.725], [0.582, 0.165, 0.225], [0.582, 0.917, 0.357], [0.583, 0.165, 0.440], [0.583, 0.918, 0.143], [0.643, 0.418, 0.083], [0.643, 0.725, 0.560], [0.665, 0.082, 0.725], [0.665, 0.083, 0.940], [0.725, 0.560, 0.643], [0.725, 0.665, 0.082], [0.775, 0.418, 0.835], [0.775, 0.857, 0.940], [0.835, 0.560, 0.417], [0.835, 0.775, 0.418], [0.857, 0.417, 0.082], [0.857, 0.940, 0.775], [0.917, 0.060, 0.335], [0.917, 0.357, 0.582], [0.918, 0.143, 0.583], [0.918, 0.275, 0.335], [0.940, 0.665, 0.083], [0.940, 0.775, 0.857]]}


(6)
{"formula": "Ho6Hg3O", "functional": "PBE", "state": "optimized geometry", "sg": "P2_1/c, No. 14", "e_form_raw_ev_per_atom": -0.768, "energy_ev_per_fu": -41.01, "lattice_angstrom": [[6.417, 0.000, 0.000], [0.000, 7.906, 0.000], [-5.955, 0.000, 9.989]], "species": ["Ho", "Ho", "Ho", "Ho", "Ho", "Ho", "Ho", "Ho", "Ho", "Ho", "Ho", "Ho", "Hg", "Hg", "Hg", "Hg", "Hg", "Hg", "O", "O"], "fractional_positions": [[0.066, 0.054, 0.225], [0.066, 0.446, 0.725], [0.188, 0.722, 0.066], [0.188, 0.778, 0.566], [0.381, 0.145, 0.053], [0.381, 0.355, 0.553], [0.619, 0.645, 0.447], [0.619, 0.855, 0.947], [0.812, 0.222, 0.434], [0.812, 0.278, 0.934], [0.934, 0.554, 0.275], [0.934, 0.946, 0.775], [0.315, 0.114, 0.733], [0.315, 0.386, 0.233], [0.500, 0.000, 0.500], [0.500, 0.500, 0.000], [0.685, 0.614, 0.767], [0.685, 0.886, 0.267], [0.000, 0.000, 0.000], [0.000, 0.500, 0.500]]}


(7)
{"formula": "Ho4Hg2O", "functional": "PBE", "state": "optimized geometry", "sg": "I4/mmm, No. 139", "e_form_raw_ev_per_atom": -1.098, "energy_ev_per_fu": -31.56, "lattice_angstrom": [[-2.352, 2.352, 7.539], [2.352, -2.352, 7.539], [2.352, 2.352, -7.539]], "species": ["Ho", "Ho", "Ho", "Ho", "Hg", "Hg", "O"], "fractional_positions": [[0.000, 0.500, 0.500], [0.177, 0.177, 0.000], [0.500, 0.000, 0.500], [0.823, 0.823, 0.000], [0.369, 0.369, 0.000], [0.631, 0.631, 0.000], [0.000, 0.000, 0.000]]}


(8)
{"formula": "HoHgO", "functional": "PBE", "state": "optimized geometry", "sg": "C2/m, No. 12", "e_form_raw_ev_per_atom": -2.093, "energy_ev_per_fu": -16.12, "lattice_angstrom": [[3.252, -1.880, 0.000], [3.252, 1.880, 0.000], [-2.242, 0.000, 9.780]], "species": ["Ho", "Ho", "Hg", "Hg", "O", "O"], "fractional_positions": [[0.116, 0.116, 0.354], [0.884, 0.884, 0.646], [0.368, 0.368, 0.110], [0.632, 0.632, 0.890], [0.198, 0.198, 0.589], [0.802, 0.802, 0.411]]}


(9)
{"formula": "Ho6Hg2O", "functional": "PBE", "state": "optimized geometry", "sg": "P2_1/c, No. 14", "e_form_raw_ev_per_atom": -0.823, "energy_ev_per_fu": -40.44, "lattice_angstrom": [[6.567, 0.000, 0.000], [0.000, 6.911, 0.000], [-6.459, 0.000, 10.001]], "species": ["Ho", "Ho", "Ho", "Ho", "Ho", "Ho", "Ho", "Ho", "Ho", "Ho", "Ho", "Ho", "Hg", "Hg", "Hg", "Hg", "O", "O"], "fractional_positions": [[0.141, 0.002, 0.245], [0.141, 0.498, 0.745], [0.226, 0.705, 0.039], [0.226, 0.795, 0.539], [0.346, 0.197, 0.041], [0.346, 0.303, 0.541], [0.654, 0.697, 0.459], [0.654, 0.803, 0.959], [0.774, 0.205, 0.461], [0.774, 0.295, 0.961], [0.859, 0.502, 0.255], [0.859, 0.998, 0.755], [0.302, 0.079, 0.750], [0.302, 0.421, 0.250], [0.698, 0.579, 0.750], [0.698, 0.921, 0.250], [0.000, 0.000, 0.000], [0.000, 0.500, 0.500]]}


(10)
{"formula": "HoHgO", "functional": "PBE", "state": "optimized geometry", "sg": "P4/nmm, No. 129", "e_form_raw_ev_per_atom": -2.173, "energy_ev_per_fu": -16.36, "lattice_angstrom": [[3.891, 0.000, 0.000], [0.000, 3.891, 0.000], [0.000, 0.000, 7.850]], "species": ["Ho", "Ho", "Hg", "Hg", "O", "O"], "fractional_positions": [[0.250, 0.250, 0.138], [0.750, 0.750, 0.862], [0.250, 0.250, 0.597], [0.750, 0.750, 0.403], [0.250, 0.750, 0.000], [0.750, 0.250, 0.000]]}


(11)
{"formula": "Ho4Hg2O", "functional": "PBE", "state": "optimized geometry", "sg": "P2_1/m, No. 11", "e_form_raw_ev_per_atom": -1.104, "energy_ev_per_fu": -31.60, "lattice_angstrom": [[6.561, 0.000, 0.000], [0.000, 6.887, 0.000], [-2.387, 0.000, 7.868]], "species": ["Ho", "Ho", "Ho", "Ho", "Ho", "Ho", "Ho", "Ho", "Hg", "Hg", "Hg", "Hg", "O", "O"], "fractional_positions": [[0.024, 0.005, 0.273], [0.024, 0.495, 0.273], [0.367, 0.750, 0.063], [0.423, 0.750, 0.632], [0.577, 0.250, 0.368], [0.633, 0.250, 0.937], [0.976, 0.505, 0.727], [0.976, 0.995, 0.727], [0.212, 0.250, 0.028], [0.284, 0.250, 0.596], [0.716, 0.750, 0.404], [0.788, 0.750, 0.972], [0.206, 0.750, 0.792], [0.794, 0.250, 0.208]]}